Below is a relaxed structure of LuMg2Si, with properties calculated at the PBE-GGA level.

E	-13.224	eV/cell
total moment	0.01	μB/cell

Cell and atoms, written as POSCAR:
```
LuMg2Si
1.0
0.0000 3.4795 3.4795
3.4795 0.0000 3.4795
3.4795 3.4795 0.0000
Lu Mg Si
1 2 1
direct
0.2500 0.2500 0.2500
0.0000 0.0000 0.0000
0.7500 0.7500 0.7500
0.5000 0.5000 0.5000
```